VASP calculation (GGA-PBE) on crystalline BaCr2BPd at its relaxed geometry.

As for the magnetization: 0.054 μB per atom. The total energy is -29.4 eV for the cell shown.

The structure belongs to space group P4/mmm (No. 123); the cell edges are 4.2786, 4.2786 and 4.4887 Å and the angles 90.00°, 90.00° and 90.00°. Symmetry generates all atoms from Ba at (0.0000, 0.0000, 0.0000), Cr at (0.0000, 0.5000, 0.5000), B at (0.5000, 0.5000, 0.5000) and Pd at (0.5000, 0.5000, 0.0000).